(a)
The following is a DFT calculation (PBE) of Tl2V2Se after structural relaxation.

Cell and atoms, written as POSCAR:
```
Tl2V2Se
1.0
-6.015 2.082 -1.016
-1.624 -1.772 5.981
1.221 4.311 1.609
Tl Se V
4 2 4
Cartesian
-1.507 1.323 4.643
-4.771 2.083 5.082
-4.911 3.299 1.930
-1.647 2.538 1.492
0.000 0.000 0.000
-3.819 0.155 2.482
-3.637 -0.771 4.826
-6.255 0.694 2.885
-4.002 1.081 0.138
-1.383 -0.384 2.080
```

Summary:
- Spin magnetization: 0.54 μB per formula unit
- Space-group type: P4/mbm (127)

(b)
The following is a DFT calculation (PBE) of Tl2V2Se after structural relaxation.

Cell and atoms, written as POSCAR:
```
Tl2V2Se
1.0
-1.590 -3.000 -2.384
-2.090 -1.484 3.262
-6.897 1.617 -1.046
Tl Se V
2 1 2
Cartesian
-5.163 -1.812 -1.496
-5.414 -1.055 1.327
0.000 0.000 0.000
-2.562 -1.691 0.227
-8.015 -1.175 -0.395
```

Summary:
- Spin magnetization: 1.14 μB per formula unit
- Space-group type: I4/mmm (139)

Which of them is most stable? Easy: (a).

(a)
The following is a DFT calculation (PBE) of TlV3Se after structural relaxation.

Cell and atoms, written as POSCAR:
```
TlV3Se
1.0
-2.603 3.254 1.898
-2.959 -0.339 -3.478
-2.331 -3.204 2.295
Tl Se V
1 1 3
Cartesian
-3.947 -0.144 0.358
0.000 0.000 0.000
-1.480 -0.169 -1.739
-1.166 -1.602 1.148
-1.302 1.627 0.949
```

Summary:
- Spin magnetization: 4.20 μB per formula unit
- Space-group type: Pm-3m (221)

(b)
The following is a DFT calculation (PBE) of TlV3Se after structural relaxation.

Cell and atoms, written as POSCAR:
```
TlV3Se
1.0
5.085 0.000 0.000
0.000 5.085 0.000
0.000 0.000 5.085
Tl Se V
1 1 3
Cartesian
0.000 0.000 0.000
2.543 2.543 2.543
0.000 2.543 0.000
0.000 0.000 2.543
2.543 0.000 0.000
```

Summary:
- Spin magnetization: 8.30 μB per formula unit
- Space-group type: Pm-3m (221)

Which of them is most stable? Easy: (a).

(a)
The following is a DFT calculation (PBE) of TlV2Se after structural relaxation.

Cell and atoms, written as POSCAR:
```
TlV2Se
1.0
0.000 3.229 3.229
3.229 0.000 3.229
3.229 3.229 0.000
Tl Se V
1 1 2
Cartesian
3.229 3.229 3.229
0.000 0.000 0.000
1.614 1.614 1.614
4.843 4.843 4.843
```

Summary:
- Spin magnetization: 0.00 μB per formula unit
- Space-group type: Fm-3m (225)

(b)
The following is a DFT calculation (PBE) of TlV2Se after structural relaxation.

Cell and atoms, written as POSCAR:
```
TlV2Se
1.0
7.201 0.000 0.000
0.000 7.201 0.000
3.600 3.600 3.124
Tl Se V
2 2 4
Cartesian
0.000 0.000 0.000
7.201 3.600 1.562
3.600 3.600 0.000
3.600 7.201 1.562
5.037 1.800 0.781
2.164 5.400 0.781
5.400 5.764 2.343
9.001 8.637 2.343
```

Summary:
- Spin magnetization: 4.50 μB per formula unit
- Space-group type: I-42d (122)

Which of them is most stable? Easy: (b).

(a)
The following is a DFT calculation (PBE) of Tl2VSe after structural relaxation.

Cell and atoms, written as POSCAR:
```
Tl2VSe
1.0
8.184 0.000 0.000
0.000 8.184 0.000
4.092 4.092 3.025
Tl Se V
4 2 2
Cartesian
6.061 2.046 0.756
2.122 6.138 0.756
6.138 6.214 2.268
10.230 10.153 2.268
0.000 0.000 0.000
8.184 4.092 1.512
4.092 4.092 0.000
4.092 8.184 1.512
```

Summary:
- Spin magnetization: 3.58 μB per formula unit
- Space-group type: I-42d (122)

(b)
The following is a DFT calculation (PBE) of Tl2VSe after structural relaxation.

Cell and atoms, written as POSCAR:
```
Tl2VSe
1.0
0.000 3.700 3.700
3.700 0.000 3.700
3.700 3.700 0.000
Tl Se V
2 1 1
Cartesian
1.850 1.850 1.850
5.550 5.550 5.550
3.700 3.700 3.700
0.000 0.000 0.000
```

Summary:
- Spin magnetization: 4.16 μB per formula unit
- Space-group type: Fm-3m (225)

Which of them is most stable? Easy: (a).

(a)
The following is a DFT calculation (PBE) of Tl2WSe after structural relaxation.

Cell and atoms, written as POSCAR:
```
Tl2WSe
1.0
4.333 0.000 0.000
0.000 3.865 -0.001
0.000 1.932 5.402
Se Tl W
1 2 1
Cartesian
2.166 3.624 4.034
0.000 5.555 5.105
2.166 1.690 1.715
0.000 3.622 2.650
```

Summary:
- Spin magnetization: 0.00 μB per formula unit
- Space-group type: Amm2 (38)

(b)
The following is a DFT calculation (PBE) of Tl2WSe after structural relaxation.

Cell and atoms, written as POSCAR:
```
Tl2WSe
1.0
3.161 -0.002 0.000
-1.311 2.876 0.000
0.000 0.000 10.741
Se Tl W
1 2 1
Cartesian
0.925 1.437 7.371
0.000 0.000 0.072
0.925 1.437 3.083
0.000 0.000 5.585
```

Summary:
- Spin magnetization: 0.00 μB per formula unit
- Space-group type: Cmm2 (35)

(c)
The following is a DFT calculation (PBE) of Tl2WSe after structural relaxation.

Cell and atoms, written as POSCAR:
```
Tl2WSe
1.0
-5.208 -1.338 0.107
-1.189 -1.062 5.136
2.414 4.291 -2.164
Se Tl W
1 2 1
Cartesian
-2.996 0.876 0.283
0.000 0.000 0.000
-0.987 1.014 2.797
-3.198 -1.200 2.622
```

Summary:
- Spin magnetization: 2.16 μB per formula unit
- Space-group type: I-4m2 (119)

(d)
The following is a DFT calculation (PBE) of Tl2WSe after structural relaxation.

Cell and atoms, written as POSCAR:
```
Tl2WSe
1.0
-0.664 2.887 4.593
-2.107 -4.957 0.929
2.689 -0.957 0.990
Se Tl W
1 2 1
Cartesian
0.291 -2.957 0.960
0.000 0.000 0.000
-1.385 -1.035 2.761
1.012 0.965 2.792
```

Summary:
- Spin magnetization: 0.00 μB per formula unit
- Space-group type: Cmmm (65)

Which of them is most stable? Easy: (b).

(a)
The following is a DFT calculation (PBE) of Tl2WSe after structural relaxation.

Cell and atoms, written as POSCAR:
```
Tl2WSe
1.0
-0.623 5.308 2.934
-2.990 0.358 5.301
4.355 -3.348 -2.645
Se Tl W
1 2 1
Cartesian
0.963 2.397 2.203
0.000 0.000 0.000
-1.806 2.833 4.118
-0.221 -0.078 3.387
```

Summary:
- Spin magnetization: 3.17 μB per formula unit
- Space-group type: I4/mmm (139)

(b)
The following is a DFT calculation (PBE) of Tl2WSe after structural relaxation.

Cell and atoms, written as POSCAR:
```
Tl2WSe
1.0
-5.631 -2.398 -4.166
-1.009 -5.757 -4.544
1.518 3.313 6.444
Se Tl W
1 2 1
Cartesian
-1.933 -3.909 -1.919
-0.074 -0.091 -0.098
-3.318 -1.092 -0.516
-3.117 -3.828 -4.088
```

Summary:
- Spin magnetization: 0.00 μB per formula unit
- Space-group type: Imm2 (44)

Which of them is most stable? Easy: (b).

(a)
The following is a DFT calculation (PBE) of TlW2Se after structural relaxation.

Cell and atoms, written as POSCAR:
```
TlW2Se
1.0
-3.138 -2.874 2.013
0.969 -2.010 4.145
-2.299 1.368 3.874
Se Tl W
1 1 2
Cartesian
-2.234 -1.759 5.016
-3.351 -2.638 7.524
0.000 0.000 0.000
-1.117 -0.879 2.508
```

Summary:
- Spin magnetization: 0.00 μB per formula unit
- Space-group type: F-43m (216)

(b)
The following is a DFT calculation (PBE) of TlW2Se after structural relaxation.

Cell and atoms, written as POSCAR:
```
TlW2Se
1.0
3.114 -2.055 2.736
-1.014 -4.026 2.042
2.089 -3.888 -1.387
Tl Se W
1 1 2
Cartesian
2.095 -4.985 1.696
0.000 0.000 0.000
1.047 -2.492 0.848
3.142 -7.477 2.544
```

Summary:
- Spin magnetization: 0.00 μB per formula unit
- Space-group type: Fm-3m (225)

Which of them is most stable? Easy: (a).

(a)
The following is a DFT calculation (PBE) of TlWSe4 after structural relaxation.

Cell and atoms, written as POSCAR:
```
TlWSe4
1.0
-5.194 -1.869 1.790
-4.760 1.287 -3.060
-2.763 -4.160 -2.955
Tl W Se
1 1 4
Cartesian
-9.537 -3.557 -3.168
0.000 0.000 0.000
-7.385 -2.720 -0.661
-6.146 -3.888 -3.080
-7.164 -1.110 -3.134
-4.737 -1.767 -1.573
```

Summary:
- Spin magnetization: 4.16 μB per formula unit
- Space-group type: F-43m (216)

(b)
The following is a DFT calculation (PBE) of TlWSe4 after structural relaxation.

Cell and atoms, written as POSCAR:
```
TlWSe4
1.0
-5.065 -1.229 -3.450
-2.916 -7.741 0.425
-5.447 -2.081 5.432
Tl W Se
2 2 8
Cartesian
-6.347 -4.304 -0.949
-7.082 -6.748 3.356
-4.186 -8.047 -0.433
-9.243 -3.004 2.840
-9.938 -5.339 1.858
-4.278 -1.959 3.677
-10.340 -8.916 2.777
-6.807 -3.868 2.398
-6.621 -7.183 0.008
-3.089 -2.136 -0.370
-9.150 -9.093 -1.270
-3.491 -5.713 0.549
```

Summary:
- Spin magnetization: 0.00 μB per formula unit
- Space-group type: C2/c (15)

Which of them is most stable? Easy: (b).